--- A ---
First-principles (PBE) data for a relaxed Mg2PaZn crystal, as listed in the Alexandria database.

Cell: 3.094 3.094 8.758 Å, 90.00 90.00 90.00°
Fractional positions:
Mg: 0.000 0.000 0.208
Mg: 0.000 0.000 0.792
Pa: 0.500 0.500 0.500
Zn: 0.500 0.500 0.000

space-group type: P4/mmm
magnetic moment: 0.77 μB/f.u.


--- B ---
First-principles (PBE) data for a relaxed Mg2PaZn crystal, as listed in the Alexandria database.

Cell: 11.204 11.204 11.204 Å, 15.59 15.59 15.59°
Fractional positions:
Mg: 0.097 0.097 0.097
Mg: 0.903 0.903 0.903
Pa: 0.000 0.000 0.000
Zn: 0.500 0.500 0.500

space-group type: R-3m
magnetic moment: 0.43 μB/f.u.


Relative energies, meV per atom: A 0; B 144.